# 1
Density functional theory data (PBE) for crystalline TaOsPd2 at its relaxed geometry.

Summary:
Energy relative to the elements ... -0.253 eV/atom
Symmetry ... P4/mmm, No. 123
Calculated volume ... 15.386 Å³ per atom
Density ... 15.76 g cm⁻³
Relative energy among the computed polymorphs ... 0 meV/atom

a b c (Å): 3.870 3.870 4.110
angles (deg): 90.00 90.00 90.00
Sites, in units of the cell vectors:
Ta 0.000 0.000 0.000
Os 0.500 0.500 0.000
Pd 0.000 0.500 0.500
Pd 0.500 0.000 0.500

***

# 2
Density functional theory data (PBE) for crystalline KP2Se at its relaxed geometry.

Summary:
Uncorrected formation energy ... 0.378 eV/atom
Symmetry ... C2/m, No. 12
Calculated volume ... 21.440 Å³ per atom
Density ... 3.49 g cm⁻³

a b c (Å): 6.211 6.211 2.664
angles (deg): 91.31 91.31 123.33
Sites, in units of the cell vectors:
K 0.000 0.000 0.000
P 0.000 0.500 0.000
P 0.500 0.000 0.000
Se 0.500 0.500 0.000

***

# 3
Density functional theory data (PBE) for crystalline PaTlPd2 at its relaxed geometry.

Summary:
Energy relative to the elements ... -0.323 eV/atom
Symmetry ... P4/mmm, No. 123
Calculated volume ... 20.560 Å³ per atom
Density ... 13.09 g cm⁻³
Relative energy among the computed polymorphs ... 60 meV/atom

a b c (Å): 3.296 3.296 7.570
angles (deg): 90.00 90.00 90.00
Sites, in units of the cell vectors:
Pa 0.000 0.000 0.000
Tl 0.000 0.000 0.500
Pd 0.500 0.500 0.248
Pd 0.500 0.500 0.752

***

# 4
Density functional theory data (PBE) for crystalline ZnC3 at its relaxed geometry.

Summary:
Energy relative to the elements ... 2.968 eV/atom
Symmetry ... Cmmm, No. 65
Calculated volume ... 10.171 Å³ per atom
Density ... 4.14 g cm⁻³
Relative energy among the computed polymorphs ... 2516 meV/atom

a b c (Å): 3.818 3.818 3.355
angles (deg): 90.00 90.00 123.69
Sites, in units of the cell vectors:
Zn 0.000 0.000 0.000
C 0.000 0.500 0.500
C 0.500 0.000 0.500
C 0.500 0.500 0.000

***

# 5
Density functional theory data (PBE) for crystalline K4SnI6 at its relaxed geometry.

Summary:
Uncorrected formation energy ... -1.205 eV/atom
Symmetry ... R-3c, No. 167
Calculated volume ... 44.777 Å³ per atom
Density ... 3.49 g cm⁻³

a b c (Å): 9.950 9.950 9.950
angles (deg): 90.41 90.41 90.41
Sites, in units of the cell vectors:
K 0.138 0.750 0.362
K 0.250 0.250 0.250
K 0.250 0.638 0.862
K 0.362 0.138 0.750
K 0.638 0.862 0.250
K 0.750 0.362 0.138
K 0.750 0.750 0.750
K 0.862 0.250 0.638
Sn 0.000 0.000 0.000
Sn 0.500 0.500 0.500
I 0.055 0.929 0.692
I 0.071 0.308 0.945
I 0.192 0.429 0.555
I 0.308 0.945 0.071
I 0.429 0.555 0.192
I 0.445 0.808 0.571
I 0.555 0.192 0.429
I 0.571 0.445 0.808
I 0.692 0.055 0.929
I 0.808 0.571 0.445
I 0.929 0.692 0.055
I 0.945 0.071 0.308

***

# 6
Density functional theory data (PBE) for crystalline YTm4Al5 at its relaxed geometry.

Summary:
Energy relative to the elements ... -0.392 eV/atom
Symmetry ... P4/mmm, No. 123
Calculated volume ... 22.591 Å³ per atom
Density ... 6.61 g cm⁻³

a b c (Å): 3.550 3.550 17.931
angles (deg): 90.00 90.00 90.00
Sites, in units of the cell vectors:
Y 0.000 0.000 0.000
Tm 0.000 0.000 0.203
Tm 0.000 0.000 0.401
Tm 0.000 0.000 0.599
Tm 0.000 0.000 0.797
Al 0.500 0.500 0.104
Al 0.500 0.500 0.302
Al 0.500 0.500 0.500
Al 0.500 0.500 0.698
Al 0.500 0.500 0.896